*i*
Compound: Er4Sn2H
Source: Alexandria
Functional: PBE
Structure: optimized geometry

Summary:
Size of the total moment ... 0.55 μB/cell
D(E_F) ... 6.1 states/eV/f.u.

a b c (Å): 4.5234 4.5234 8.8522
angles (deg): 75.20 75.20 90.00
With the nearest neighbours (Å) after each atom.
Positions (direct):
Er  0.0000  0.5000  0.0000  2 H 2.26
Er  0.5000  0.0000  0.0000  2 H 2.26
Er  0.8241  0.8241  0.3518  1 H 2.90, 1 Sn 3.08
Er  0.1759  0.1759  0.6482  1 H 2.90, 1 Sn 3.08
Sn  0.3625  0.3625  0.2749  9 Er 3.08-3.26
Sn  0.6375  0.6375  0.7251  9 Er 3.08-3.26
H  0.0000  0.0000  0.0000  4 Er 2.26

=====

*ii*
Compound: Er4Sn2H
Source: Alexandria
Functional: PBE
Structure: optimized geometry

Summary:
Size of the total moment ... 0.00 μB/cell
D(E_F) ... 5.0 states/eV/f.u.

a b c (Å): 6.2196 6.4412 8.9951
angles (deg): 90.00 109.55 90.00
With the nearest neighbours (Å) after each atom.
Positions (direct):
Er  0.9304  0.2500  0.6492  1 H 2.20
Er  0.5376  0.5010  0.2948  1 H 2.19
Er  0.4624  0.4990  0.7052  1 H 2.19
Er  0.1334  0.7500  0.9426  1 H 2.22
Er  0.8666  0.2500  0.0574  1 H 2.22
Er  0.4624  0.0010  0.7052  1 H 2.19
Er  0.5376  0.9990  0.2948  1 H 2.19
Er  0.0696  0.7500  0.3508  1 H 2.20
H  0.2892  0.7500  0.2036  4 Er 2.19-2.22
H  0.7108  0.2500  0.7964  4 Er 2.19-2.22
Sn  0.8363  0.7500  0.5989  8 Er 3.03-3.28
Sn  0.6881  0.7500  0.0302  9 Er 3.06-3.39, 1 H 3.34
Sn  0.3119  0.2500  0.9698  9 Er 3.06-3.39, 1 H 3.34
Sn  0.1637  0.2500  0.4011  8 Er 3.03-3.28

=====

Which of the structures shown above is the most stable? The most stable is *ii*.